Na3ZnIr: optimized geometry, GGA-PBE.

Structure (CIF):
```
data_Na3ZnIr
_symmetry_space_group_name_H-M 'P m -3 m'
_symmetry_Int_Tables_number 221
_symmetry_space_group_name_Hall '-P 4 2 3'
_cell_length_a 5.471
_cell_length_b 5.471
_cell_length_c 5.471
_cell_angle_alpha 90.00
_cell_angle_beta 90.00
_cell_angle_gamma 90.00
loop_
_atom_site_label
_atom_site_type_symbol
_atom_site_fract_x
_atom_site_fract_y
_atom_site_fract_z
_atom_site_occupancy
Na1 Na 0.000 0.000 0.500 1
Zn1 Zn 0.500 0.500 0.500 1
Ir1 Ir 0.000 0.000 0.000 1
```

- DOS at the Fermi energy: 1.4 states/eV/cell
- ΔE_f: 0.748 eV/atom

=====

TmTl2Ag: optimized geometry, GGA-PBE.

Structure (CIF):
```
data_TmTl2Ag
_symmetry_space_group_name_H-M 'P 4/m m m'
_symmetry_Int_Tables_number 123
_symmetry_space_group_name_Hall '-P 4 2'
_cell_length_a 4.799
_cell_length_b 4.799
_cell_length_c 4.221
_cell_angle_alpha 90.00
_cell_angle_beta 90.00
_cell_angle_gamma 90.00
loop_
_atom_site_label
_atom_site_type_symbol
_atom_site_fract_x
_atom_site_fract_y
_atom_site_fract_z
_atom_site_occupancy
Tm1 Tm 0.000 0.000 0.000 1
Tl1 Tl 0.000 0.500 0.500 1
Ag1 Ag 0.500 0.500 0.000 1
```

- DOS at the Fermi energy: 1.4 states/eV/cell
- ΔE_f: -0.157 eV/atom

=====

> What is the formula in the second record?

TmTl2Ag

=====

What did the first record say?
Na3ZnIr: optimized geometry, GGA-PBE.

Structure (CIF):
```
data_Na3ZnIr
_symmetry_space_group_name_H-M 'P m -3 m'
_symmetry_Int_Tables_number 221
_symmetry_space_group_name_Hall '-P 4 2 3'
_cell_length_a 5.471
_cell_length_b 5.471
_cell_length_c 5.471
_cell_angle_alpha 90.00
_cell_angle_beta 90.00
_cell_angle_gamma 90.00
loop_
_atom_site_label
_atom_site_type_symbol
_atom_site_fract_x
_atom_site_fract_y
_atom_site_fract_z
_atom_site_occupancy
Na1 Na 0.000 0.000 0.500 1
Zn1 Zn 0.500 0.500 0.500 1
Ir1 Ir 0.000 0.000 0.000 1
```

- DOS at the Fermi energy: 1.4 states/eV/cell
- ΔE_f: 0.748 eV/atom

=====

> Which of these has the highest ΔE_f?

Na3ZnIr